Mg3SeS GGA-PBE relaxed; SG = No. 221; magnetic moment = 0.00 μB/cell; E_form (uncorrected) = -0.344 eV/atom; energy above the most stable polymorph in this dataset = 0 meV per atom
1.0
-1.928 -1.672 -4.197
0.225 -4.593 1.727
-4.512 0.485 1.880
S Mg Se
1 3 1
Direct
0.000 0.000 0.000 S
0.000 0.500 0.000 Mg
0.000 0.000 0.500 Mg
0.500 0.000 0.000 Mg
0.500 0.500 0.500 Se